Entry 1
Cu2Pt PBE optimized geometry; D(E_F) = 2.42 states/eV/cell; total magnetic moment = 0.00 μB per formula unit
1.0
-3.807 2.265 1.862
-0.203 -4.721 -0.874
2.664 -1.449 7.210
Cu Pt
8 4
direct
0.000 0.000 0.000
0.000 0.000 0.500
0.170 0.340 0.750
0.170 0.830 0.750
0.340 0.170 0.250
0.660 0.830 0.750
0.830 0.170 0.250
0.830 0.660 0.250
0.333 0.667 0.062
0.333 0.667 0.438
0.667 0.333 0.562
0.667 0.333 0.938


Entry 2
Cu2Pt PBE optimized geometry; D(E_F) = 5.07 states/eV/cell; total magnetic moment = 0.00 μB per formula unit
1.0
5.782 0.028 -0.030
1.248 5.276 -0.018
-1.248 0.265 5.270
Cu Pt
8 4
direct
0.000 0.009 0.009
0.333 0.170 0.334
0.671 0.333 0.665
0.002 0.492 0.009
0.329 0.665 0.333
0.998 0.009 0.492
0.667 0.334 0.170
0.000 0.492 0.492
0.680 0.830 0.666
0.322 0.170 0.830
0.320 0.666 0.830
0.678 0.830 0.170


Most stable to least stable: entry 2, entry 1


Entry 1
KHg3Pt PBE optimized geometry; D(E_F) = 3.44 states/eV/cell; total magnetic moment = 0.00 μB per formula unit
1.0
-3.349 -1.166 6.669
6.885 -1.861 2.418
-5.451 5.523 4.008
K Hg Pt
2 6 2
direct
0.095 0.510 0.231
0.539 0.951 0.358
0.596 0.523 0.742
0.915 0.326 0.904
0.002 0.901 0.827
0.606 0.022 0.803
0.102 0.016 0.237
0.486 0.412 0.340
0.016 0.438 0.619
0.184 0.602 0.846


Entry 2
KHg3Pt PBE optimized geometry; D(E_F) = 2.92 states/eV/cell; total magnetic moment = 0.00 μB per formula unit
1.0
-4.285 2.884 -1.545
-4.625 -3.873 5.598
0.163 6.175 4.407
K Hg Pt
2 6 2
direct
0.269 0.250 0.434
0.731 0.750 0.566
0.146 0.927 0.803
0.854 0.073 0.197
0.146 0.573 0.803
0.854 0.427 0.197
0.599 0.250 0.845
0.401 0.750 0.155
0.094 0.250 0.862
0.906 0.750 0.138


Most stable to least stable: entry 1, entry 2


Entry 1
AsPC PBE optimized geometry; D(E_F) = 0.42 states/eV/cell; total magnetic moment = 0.00 μB per formula unit
1.0
6.681 0.000 0.007
0.000 2.909 0.000
-1.162 0.000 4.892
P As C
2 2 2
direct
0.941 0.000 0.526
0.941 0.500 0.026
0.383 0.000 0.995
0.383 0.500 0.495
0.069 0.000 0.898
0.069 0.500 0.398


Entry 2
AsPC PBE optimized geometry; total magnetic moment = 0.00 μB per formula unit
1.0
4.228 0.000 0.000
0.000 4.217 0.000
-3.933 0.000 12.293
P As C
4 4 4
direct
0.955 0.950 0.158
0.045 0.950 0.842
0.955 0.450 0.658
0.045 0.450 0.342
0.349 0.544 0.144
0.651 0.544 0.856
0.349 0.044 0.644
0.651 0.044 0.356
0.762 0.739 0.250
0.238 0.739 0.750
0.762 0.239 0.750
0.238 0.239 0.250


Most stable to least stable: entry 1, entry 2


Entry 1
MgCoI PBE optimized geometry; D(E_F) = 7.43 states/eV/cell; total magnetic moment = 1.22 μB per formula unit
1.0
5.121 0.000 0.000
0.000 3.593 0.000
0.000 0.000 18.292
I Mg Co
4 4 4
direct
0.238 0.250 0.858
0.262 0.750 0.358
0.762 0.750 0.142
0.738 0.250 0.642
0.890 0.250 0.437
0.610 0.750 0.937
0.110 0.750 0.563
0.390 0.250 0.063
0.409 0.250 0.471
0.091 0.750 0.971
0.591 0.750 0.529
0.909 0.250 0.029


Entry 2
MgCoI PBE optimized geometry; D(E_F) = 4.95 states/eV/cell; total magnetic moment = 1.52 μB per formula unit
1.0
-2.876 2.567 0.246
-2.320 -2.417 -1.913
-1.443 -1.112 10.907
I Mg Co
2 2 2
direct
0.752 0.483 0.956
0.364 0.600 0.575
0.023 0.918 0.394
0.093 0.162 0.137
0.530 0.348 0.323
0.586 0.732 0.208


Most stable to least stable: entry 2, entry 1


Entry 1
LaTcRh2 PBE optimized geometry; D(E_F) = 5.48 states/eV/cell; total magnetic moment = 0.00 μB per formula unit
1.0
2.909 0.000 0.000
0.000 3.936 0.000
0.000 0.000 6.406
La Rh Tc
1 2 1
direct
0.500 0.500 0.764
0.000 0.000 0.031
0.500 0.500 0.274
0.000 0.000 0.431


Entry 2
LaTcRh2 PBE optimized geometry; D(E_F) = 4.87 states/eV/cell; total magnetic moment = 0.00 μB per formula unit
1.0
-1.350 2.555 -0.218
-1.760 -0.661 3.152
5.114 2.999 3.484
La Rh Tc
1 2 1
direct
0.500 0.500 0.750
0.000 0.000 0.056
0.000 0.000 0.444
0.500 0.500 0.250


Most stable to least stable: entry 2, entry 1